First-principles (GGA-PBE) data for a relaxed structure of ErAl4Cu2Pt, as listed in the Alexandria database.

Properties
Formation energy ... -3.9 eV/f.u.

```
data_ErAl4Cu2Pt
_chemical_formula_sum 'Er3 Al12 Cu6 Pt3'
_space_group_name_H-M_alt 'R -3 m'
_space_group_IT_number 166
_space_group_name_Hall '-R 3 2"'
_cell_length_a 4.1962
_cell_length_b 4.1962
_cell_length_c 26.4958
_cell_angle_alpha 90.00
_cell_angle_beta 90.00
_cell_angle_gamma 120.00
loop_
_atom_site_label
_atom_site_type_symbol
_atom_site_fract_x
_atom_site_fract_y
_atom_site_fract_z
_atom_site_occupancy
Er1 Er 0.0000 0.0000 0.0000 1
Al1 Al 0.0000 0.0000 0.1282 1
Al2 Al 0.0000 0.0000 0.4028 1
Cu1 Cu 0.0000 0.0000 0.2521 1
Pt1 Pt 0.0000 0.0000 0.5000 1
```


First-principles (GGA-PBE) data for a relaxed structure of CePm12Ir7, as listed in the Alexandria database.

Properties
Formation energy ... -10.3 eV/f.u.

```
data_CePm12Ir7
_chemical_formula_sum 'Ce3 Pm36 Ir21'
_space_group_name_H-M_alt 'R -3'
_space_group_IT_number 148
_space_group_name_Hall '-R 3'
_cell_length_a 14.5876
_cell_length_b 14.5876
_cell_length_c 10.0765
_cell_angle_alpha 90.00
_cell_angle_beta 90.00
_cell_angle_gamma 120.00
loop_
_atom_site_label
_atom_site_type_symbol
_atom_site_fract_x
_atom_site_fract_y
_atom_site_fract_z
_atom_site_occupancy
Ce1 Ce 0.0000 0.0000 0.0000 1
Pm1 Pm 0.0279 0.5861 0.6588 1
Pm2 Pm 0.0449 0.1711 0.3303 1
Ir1 Ir 0.0000 0.0000 0.5000 1
Ir2 Ir 0.0460 0.1804 0.8338 1
```